1.
{
  "formula": "MnCoPb2",
  "functional": "PBEsol",
  "state": "optimized geometry",
  "e_above_lowest_polymorph_mev_per_atom": 221,
  "space_group": "No. 166",
  "e_form_ev_per_fu": 2.53,
  "lattice_angstrom": [[1.6524, 0.9540, 8.1873], [-1.6524, 0.9540, 8.1873], [0.0000, -1.9080, 8.1873]],
  "species": ["Mn", "Co", "Pb", "Pb"],
  "frac_coords": [[0.0000, 0.0000, 0.0000], [0.5000, 0.5000, 0.5000], [0.2431, 0.2431, 0.2431], [0.7569, 0.7569, 0.7569]]
}

2.
{
  "formula": "LiZr2Be",
  "functional": "PBEsol",
  "state": "optimized geometry",
  "space_group": "No. 38",
  "e_form_ev_per_fu": 0.83,
  "lattice_angstrom": [[4.1268, 0.0000, 0.0000], [0.0000, 1.5308, 5.3674], [0.0000, -1.5308, 5.3674]],
  "species": ["Li", "Zr", "Zr", "Be"],
  "frac_coords": [[0.0000, 0.0000, 0.0000], [0.0000, 0.7235, 0.7235], [0.5000, 0.3898, 0.3898], [0.5000, 0.1271, 0.1271]]
}

3.
{
  "formula": "ThRe2",
  "functional": "PBEsol",
  "state": "optimized geometry",
  "space_group": "No. 194",
  "e_form_ev_per_fu": -0.22,
  "lattice_angstrom": [[5.3617, 0.0000, 0.0000], [-2.6809, 4.6434, 0.0000], [0.0000, 0.0000, 9.2550]],
  "species": ["Th", "Th", "Th", "Th", "Re", "Re", "Re", "Re", "Re", "Re", "Re", "Re"],
  "frac_coords": [[0.3333, 0.6667, 0.0606], [0.3333, 0.6667, 0.4394], [0.6667, 0.3333, 0.5606], [0.6667, 0.3333, 0.9394], [0.0000, 0.0000, 0.0000], [0.0000, 0.0000, 0.5000], [0.1694, 0.3387, 0.7500], [0.1694, 0.8306, 0.7500], [0.3387, 0.1694, 0.2500], [0.6613, 0.8306, 0.7500], [0.8306, 0.1694, 0.2500], [0.8306, 0.6613, 0.2500]]
}

4.
{
  "formula": "InNi2Rh",
  "functional": "PBEsol",
  "state": "optimized geometry",
  "space_group": "No. 38",
  "e_form_ev_per_fu": 0.04,
  "lattice_angstrom": [[4.0664, 0.0000, 0.0000], [0.0000, 1.3701, 4.8202], [0.0000, -1.3701, 4.8202]],
  "species": ["In", "Ni", "Ni", "Rh"],
  "frac_coords": [[0.0000, 0.0000, 0.0000], [0.0000, 0.2604, 0.2604], [0.5000, 0.3915, 0.3915], [0.5000, 0.6654, 0.6654]]
}

5.
{
  "formula": "Li2CrRe",
  "functional": "PBEsol",
  "state": "optimized geometry",
  "e_above_lowest_polymorph_mev_per_atom": 149,
  "space_group": "No. 123",
  "e_form_ev_per_fu": 2.25,
  "lattice_angstrom": [[2.4416, 0.0000, 0.0000], [0.0000, 2.4416, 0.0000], [0.0000, 0.0000, 9.0319]],
  "species": ["Li", "Li", "Cr", "Re"],
  "frac_coords": [[0.0000, 0.0000, 0.2479], [0.0000, 0.0000, 0.7521], [0.5000, 0.5000, 0.5000], [0.5000, 0.5000, 0.0000]]
}

6.
{
  "formula": "Ti2CrInTc",
  "functional": "PBEsol",
  "state": "optimized geometry",
  "space_group": "No. 123",
  "e_form_ev_per_fu": 9.46,
  "lattice_angstrom": [[4.8757, 0.0000, 0.0000], [0.0000, 4.8757, 0.0000], [0.0000, 0.0000, 4.8370]],
  "species": ["Ti", "Ti", "Cr", "In", "Tc"],
  "frac_coords": [[0.0000, 0.5000, 0.0000], [0.5000, 0.0000, 0.0000], [0.0000, 0.0000, 0.5000], [0.5000, 0.5000, 0.0000], [0.5000, 0.5000, 0.5000]]
}

7.
{
  "formula": "LaIn3Se",
  "functional": "PBEsol",
  "state": "optimized geometry",
  "space_group": "No. 221",
  "raw_formation_energy_ev_per_atom": 0.11,
  "lattice_angstrom": [[5.3355, 0.0000, 0.0000], [0.0000, 5.3355, 0.0000], [0.0000, 0.0000, 5.3355]],
  "species": ["La", "In", "In", "In", "Se"],
  "frac_coords": [[0.0000, 0.0000, 0.0000], [0.0000, 0.5000, 0.5000], [0.5000, 0.0000, 0.5000], [0.5000, 0.5000, 0.0000], [0.5000, 0.5000, 0.5000]]
}

8.
{
  "formula": "LaIrRh",
  "functional": "PBEsol",
  "state": "optimized geometry",
  "e_above_lowest_polymorph_mev_per_atom": 328,
  "space_group": "No. 216",
  "e_form_ev_per_fu": 1.27,
  "lattice_angstrom": [[0.0000, 3.1736, 3.1736], [3.1736, 0.0000, 3.1736], [3.1736, 3.1736, 0.0000]],
  "species": ["La", "Ir", "Rh"],
  "frac_coords": [[0.0000, 0.0000, 0.0000], [0.2500, 0.2500, 0.2500], [0.7500, 0.7500, 0.7500]]
}

9.
{
  "formula": "TlTcCl2",
  "functional": "PBEsol",
  "state": "optimized geometry",
  "e_above_lowest_polymorph_mev_per_atom": 370,
  "space_group": "No. 123",
  "raw_formation_energy_ev_per_atom": 0.21,
  "lattice_angstrom": [[3.2379, 0.0000, 0.0000], [0.0000, 3.2379, 0.0000], [0.0000, 0.0000, 8.0759]],
  "species": ["Tl", "Tc", "Cl", "Cl"],
  "frac_coords": [[0.0000, 0.0000, 0.0000], [0.0000, 0.0000, 0.5000], [0.5000, 0.5000, 0.3024], [0.5000, 0.5000, 0.6976]]
}

10.
{
  "formula": "ZrSiW2",
  "functional": "PBEsol",
  "state": "optimized geometry",
  "space_group": "No. 65",
  "raw_formation_energy_ev_per_atom": 0.02,
  "lattice_angstrom": [[1.6585, -2.3039, 0.0000], [1.6585, 2.3039, 0.0000], [0.0000, 0.0000, 8.4543]],
  "species": ["Zr", "Si", "W", "W"],
  "frac_coords": [[0.0000, 0.0000, 0.0000], [0.0000, 0.0000, 0.5000], [0.5000, 0.5000, 0.2787], [0.5000, 0.5000, 0.7213]]
}

11.
{
  "formula": "NaFeN2O",
  "functional": "PBEsol",
  "state": "optimized geometry",
  "space_group": "No. 123",
  "raw_formation_energy_ev_per_atom": 0.16,
  "lattice_angstrom": [[3.5030, 0.0000, 0.0000], [0.0000, 3.5030, 0.0000], [0.0000, 0.0000, 4.0963]],
  "species": ["Na", "Fe", "N", "N", "O"],
  "frac_coords": [[0.0000, 0.0000, 0.0000], [0.5000, 0.5000, 0.5000], [0.0000, 0.5000, 0.5000], [0.5000, 0.0000, 0.5000], [0.5000, 0.5000, 0.0000]]
}

12.
{
  "formula": "AgAu2Br",
  "functional": "PBEsol",
  "state": "optimized geometry",
  "e_above_lowest_polymorph_mev_per_atom": 0,
  "space_group": "No. 99",
  "raw_formation_energy_ev_per_atom": 0.12,
  "lattice_angstrom": [[3.4228, 0.0000, 0.0000], [0.0000, 3.4228, 0.0000], [0.0000, 0.0000, 6.5778]],
  "species": ["Ag", "Au", "Au", "Br"],
  "frac_coords": [[0.0000, 0.0000, 0.0000], [0.0000, 0.0000, 0.4338], [0.5000, 0.5000, 0.2319], [0.5000, 0.5000, 0.7483]]
}

13.
{
  "formula": "YSbSe2",
  "functional": "PBEsol",
  "state": "optimized geometry",
  "space_group": "No. 123",
  "raw_formation_energy_ev_per_atom": -0.91,
  "lattice_angstrom": [[3.5617, 0.0000, 0.0000], [0.0000, 3.5617, 0.0000], [0.0000, 0.0000, 7.1332]],
  "species": ["Y", "Sb", "Se", "Se"],
  "frac_coords": [[0.0000, 0.0000, 0.0000], [0.0000, 0.0000, 0.5000], [0.5000, 0.5000, 0.2140], [0.5000, 0.5000, 0.7860]]
}

14.
{
  "formula": "TaAsN2O",
  "functional": "PBEsol",
  "state": "optimized geometry",
  "space_group": "No. 123",
  "raw_formation_energy_ev_per_atom": -0.24,
  "lattice_angstrom": [[4.0982, 0.0000, 0.0000], [0.0000, 4.0982, 0.0000], [0.0000, 0.0000, 3.8183]],
  "species": ["Ta", "As", "N", "N", "O"],
  "frac_coords": [[0.0000, 0.0000, 0.0000], [0.5000, 0.5000, 0.5000], [0.0000, 0.5000, 0.0000], [0.5000, 0.0000, 0.0000], [0.0000, 0.0000, 0.5000]]
}

Result set for magnetization: 4.9, 0.0, 0.0, 0.5, 0.0, 4.2, 0.0, 0.0, 4.0, 0.0, 0.5, 0.0, 0.0, 0.0 μB per cell, one per record in the order listed.
Result set for total DFT energy (no corrections): -5.74, -5.83, -11.66, -5.85, -6.31, -6.34, -3.52, -7.35, -4.27, -10.60, -6.38, -3.14, -5.68, -8.23 eV/atom, one per record in the order listed.